# 1
Computed, not measured: a relaxed structure of Al2CrW at the GGA-PBE level of DFT.

Calculated values
E above lowest polymorph = 165.2 meV per atom
energy of formation = 0.06 eV/atom

The structure in CIF format:
```
data_Al2CrW
_cell_length_a 4.8240
_cell_length_b 4.8240
_cell_length_c 2.7477
_cell_angle_alpha 90.00
_cell_angle_beta 90.00
_cell_angle_gamma 112.55
_space_group_name_H-M_alt 'P 1'
_space_group_IT_number 1
loop_
_space_group_symop_operation_xyz
'x,y,z'
loop_
_atom_site_label
_atom_site_type_symbol
_atom_site_fract_x
_atom_site_fract_y
_atom_site_fract_z
_atom_site_occupancy
Al1 Al 0.0000 0.5000 0.0000 1
Al2 Al 0.5000 0.0000 0.0000 1
Cr1 Cr 0.0000 0.0000 0.5000 1
W1 W 0.5000 0.5000 0.5000 1
```

# 2
Computed, not measured: a relaxed structure of Al2CrW at the GGA-PBE level of DFT.

Calculated values
E above lowest polymorph = 682.1 meV per atom
energy of formation = 0.57 eV/atom

The structure in CIF format:
```
data_Al2CrW
_cell_length_a 5.5384
_cell_length_b 5.5384
_cell_length_c 5.5384
_cell_angle_alpha 103.21
_cell_angle_beta 103.21
_cell_angle_gamma 122.89
_space_group_name_H-M_alt 'P 1'
_space_group_IT_number 1
loop_
_space_group_symop_operation_xyz
'x,y,z'
loop_
_atom_site_label
_atom_site_type_symbol
_atom_site_fract_x
_atom_site_fract_y
_atom_site_fract_z
_atom_site_occupancy
Al1 Al 0.1084 0.1250 0.4834 1
Al2 Al 0.3750 0.8916 0.0166 1
Al3 Al 0.6416 0.6250 0.5166 1
Al4 Al 0.8750 0.3584 0.9834 1
Cr1 Cr 0.0000 0.0000 0.0000 1
Cr2 Cr 0.7500 0.2500 0.5000 1
W1 W 0.2500 0.7500 0.5000 1
W2 W 0.5000 0.5000 0.0000 1
```

# 3
Computed, not measured: a relaxed structure of AlCrW2 at the GGA-PBE level of DFT.

Calculated values
energy of formation = 0.06 eV/atom

The structure in CIF format:
```
data_AlCrW2
_cell_length_a 2.6950
_cell_length_b 4.2508
_cell_length_c 5.2834
_cell_angle_alpha 90.00
_cell_angle_beta 102.76
_cell_angle_gamma 90.00
_space_group_name_H-M_alt 'P 1'
_space_group_IT_number 1
loop_
_space_group_symop_operation_xyz
'x,y,z'
loop_
_atom_site_label
_atom_site_type_symbol
_atom_site_fract_x
_atom_site_fract_y
_atom_site_fract_z
_atom_site_occupancy
Al1 Al 0.0000 0.0000 0.0000 1
Cr1 Cr 0.5000 0.0000 0.5000 1
W1 W 0.2772 0.5000 0.7463 1
W2 W 0.7228 0.5000 0.2537 1
```

# 4
Computed, not measured: a relaxed structure of AlCrW at the GGA-PBE level of DFT.

Calculated values
E above lowest polymorph = 161.6 meV per atom
energy of formation = 0.12 eV/atom

The structure in CIF format:
```
data_AlCrW
_cell_length_a 4.6463
_cell_length_b 4.6463
_cell_length_c 4.6463
_cell_angle_alpha 146.96
_cell_angle_beta 127.41
_cell_angle_gamma 63.53
_space_group_name_H-M_alt 'P 1'
_space_group_IT_number 1
loop_
_space_group_symop_operation_xyz
'x,y,z'
loop_
_atom_site_label
_atom_site_type_symbol
_atom_site_fract_x
_atom_site_fract_y
_atom_site_fract_z
_atom_site_occupancy
Al1 Al 0.0000 0.0000 0.0000 1
Cr1 Cr 0.6599 0.6599 0.0000 1
W1 W 0.3350 0.3350 0.0000 1
```

# 5
Computed, not measured: a relaxed structure of AlCrW2 at the GGA-PBE level of DFT.

Calculated values
energy of formation = 0.04 eV/atom

The structure in CIF format:
```
data_AlCrW2
_cell_length_a 5.0635
_cell_length_b 5.0635
_cell_length_c 5.0635
_cell_angle_alpha 143.90
_cell_angle_beta 129.06
_cell_angle_gamma 64.01
_space_group_name_H-M_alt 'P 1'
_space_group_IT_number 1
loop_
_space_group_symop_operation_xyz
'x,y,z'
loop_
_atom_site_label
_atom_site_type_symbol
_atom_site_fract_x
_atom_site_fract_y
_atom_site_fract_z
_atom_site_occupancy
Al1 Al 0.0000 0.0000 0.0000 1
Cr1 Cr 0.2490 0.7490 0.5000 1
W1 W 0.4804 0.4804 0.0000 1
W2 W 0.7321 0.2321 0.5000 1
```

# 6
Computed, not measured: a relaxed structure of AlCrW2 at the GGA-PBE level of DFT.

Calculated values
energy of formation = 0.07 eV/atom

The structure in CIF format:
```
data_AlCrW2
_cell_length_a 3.1635
_cell_length_b 3.1635
_cell_length_c 6.0044
_cell_angle_alpha 90.00
_cell_angle_beta 90.00
_cell_angle_gamma 90.00
_space_group_name_H-M_alt 'P 1'
_space_group_IT_number 1
loop_
_space_group_symop_operation_xyz
'x,y,z'
loop_
_atom_site_label
_atom_site_type_symbol
_atom_site_fract_x
_atom_site_fract_y
_atom_site_fract_z
_atom_site_occupancy
Al1 Al 0.0000 0.0000 0.0000 1
Cr1 Cr 0.5000 0.5000 0.2465 1
W1 W 0.0000 0.0000 0.4863 1
W2 W 0.5000 0.5000 0.7410 1
```

# 7
Computed, not measured: a relaxed structure of Al2CrW at the GGA-PBE level of DFT.

Calculated values
E above lowest polymorph = 226.1 meV per atom
energy of formation = 0.12 eV/atom

The structure in CIF format:
```
data_Al2CrW
_cell_length_a 8.9091
_cell_length_b 8.9091
_cell_length_c 8.9091
_cell_angle_alpha 17.98
_cell_angle_beta 17.98
_cell_angle_gamma 17.98
_space_group_name_H-M_alt 'P 1'
_space_group_IT_number 1
loop_
_space_group_symop_operation_xyz
'x,y,z'
loop_
_atom_site_label
_atom_site_type_symbol
_atom_site_fract_x
_atom_site_fract_y
_atom_site_fract_z
_atom_site_occupancy
Al1 Al 0.2466 0.2466 0.2466 1
Al2 Al 0.7534 0.7534 0.7534 1
Cr1 Cr 0.5000 0.5000 0.5000 1
W1 W 0.0000 0.0000 0.0000 1
```

# 8
Computed, not measured: a relaxed structure of AlCr2W at the GGA-PBE level of DFT.

Calculated values
energy of formation = 0.05 eV/atom

The structure in CIF format:
```
data_AlCr2W
_cell_length_a 2.6390
_cell_length_b 2.6390
_cell_length_c 8.2988
_cell_angle_alpha 90.00
_cell_angle_beta 90.00
_cell_angle_gamma 108.71
_space_group_name_H-M_alt 'P 1'
_space_group_IT_number 1
loop_
_space_group_symop_operation_xyz
'x,y,z'
loop_
_atom_site_label
_atom_site_type_symbol
_atom_site_fract_x
_atom_site_fract_y
_atom_site_fract_z
_atom_site_occupancy
Al1 Al 0.0000 0.0000 0.0000 1
Cr1 Cr 0.5000 0.5000 0.2470 1
Cr2 Cr 0.5000 0.5000 0.7530 1
W1 W 0.0000 0.0000 0.5000 1
```

# 9
Computed, not measured: a relaxed structure of AlCrW at the GGA-PBE level of DFT.

Calculated values
E above lowest polymorph = 1.8 meV per atom
energy of formation = -0.04 eV/atom

The structure in CIF format:
```
data_AlCrW
_cell_length_a 4.9222
_cell_length_b 4.9222
_cell_length_c 4.9222
_cell_angle_alpha 143.05
_cell_angle_beta 143.05
_cell_angle_gamma 53.25
_space_group_name_H-M_alt 'P 1'
_space_group_IT_number 1
loop_
_space_group_symop_operation_xyz
'x,y,z'
loop_
_atom_site_label
_atom_site_type_symbol
_atom_site_fract_x
_atom_site_fract_y
_atom_site_fract_z
_atom_site_occupancy
Al1 Al 0.0000 0.0000 0.0000 1
Cr1 Cr 0.3276 0.3276 0.0000 1
W1 W 0.6858 0.6858 0.0000 1
```

# 10
Computed, not measured: a relaxed structure of AlCrW2 at the GGA-PBE level of DFT.

Calculated values
energy of formation = 0.04 eV/atom

The structure in CIF format:
```
data_AlCrW2
_cell_length_a 2.7086
_cell_length_b 2.7086
_cell_length_c 8.5418
_cell_angle_alpha 90.00
_cell_angle_beta 90.00
_cell_angle_gamma 108.78
_space_group_name_H-M_alt 'P 1'
_space_group_IT_number 1
loop_
_space_group_symop_operation_xyz
'x,y,z'
loop_
_atom_site_label
_atom_site_type_symbol
_atom_site_fract_x
_atom_site_fract_y
_atom_site_fract_z
_atom_site_occupancy
Al1 Al 0.0000 0.0000 0.0000 1
Cr1 Cr 0.5000 0.5000 0.7652 1
W1 W 0.0000 0.0000 0.5250 1
W2 W 0.5000 0.5000 0.2594 1
```

# 11
Computed, not measured: a relaxed structure of Al2CrW at the GGA-PBE level of DFT.

Calculated values
E above lowest polymorph = 0.0 meV per atom
energy of formation = -0.11 eV/atom

The structure in CIF format:
```
data_Al2CrW
_cell_length_a 3.1377
_cell_length_b 3.1377
_cell_length_c 5.8430
_cell_angle_alpha 90.00
_cell_angle_beta 90.00
_cell_angle_gamma 90.00
_space_group_name_H-M_alt 'P 1'
_space_group_IT_number 1
loop_
_space_group_symop_operation_xyz
'x,y,z'
loop_
_atom_site_label
_atom_site_type_symbol
_atom_site_fract_x
_atom_site_fract_y
_atom_site_fract_z
_atom_site_occupancy
Al1 Al 0.0000 0.0000 0.0000 1
Al2 Al 0.5000 0.5000 0.2656 1
Cr1 Cr 0.0000 0.0000 0.5100 1
W1 W 0.5000 0.5000 0.7338 1
```

# 12
Computed, not measured: a relaxed structure of AlCr2W at the GGA-PBE level of DFT.

Calculated values
energy of formation = 0.83 eV/atom

The structure in CIF format:
```
data_AlCr2W
_cell_length_a 5.4697
_cell_length_b 5.4697
_cell_length_c 5.4697
_cell_angle_alpha 103.11
_cell_angle_beta 103.11
_cell_angle_gamma 123.12
_space_group_name_H-M_alt 'P 1'
_space_group_IT_number 1
loop_
_space_group_symop_operation_xyz
'x,y,z'
loop_
_atom_site_label
_atom_site_type_symbol
_atom_site_fract_x
_atom_site_fract_y
_atom_site_fract_z
_atom_site_occupancy
Al1 Al 0.0000 0.0000 0.0000 1
Al2 Al 0.7500 0.2500 0.5000 1
Cr1 Cr 0.1432 0.6250 0.0182 1
Cr2 Cr 0.3750 0.3932 0.5182 1
Cr3 Cr 0.6068 0.1250 0.9818 1
Cr4 Cr 0.8750 0.8568 0.4818 1
W1 W 0.2500 0.7500 0.5000 1
W2 W 0.5000 0.5000 0.0000 1
```

Number 1: final energy -7.459 eV/atom, magnetic moment 2.0 μB per formula unit. Number 2: final energy -6.942 eV/atom, magnetic moment 1.8 μB per formula unit. Number 3: final energy -9.759 eV/atom, magnetic moment 0.3 μB per formula unit. Number 4: final energy -8.651 eV/atom, magnetic moment 0.0 μB per formula unit. Number 5: final energy -9.780 eV/atom, magnetic moment 0.0 μB per formula unit. Number 6: final energy -9.744 eV/atom, magnetic moment 2.1 μB per formula unit. Number 7: final energy -7.398 eV/atom, magnetic moment 0.0 μB per formula unit. Number 8: final energy -8.935 eV/atom, magnetic moment 0.0 μB per formula unit. Number 9: final energy -8.811 eV/atom, magnetic moment 0.0 μB per formula unit. Number 10: final energy -9.779 eV/atom, magnetic moment 0.0 μB per formula unit. Number 11: final energy -7.624 eV/atom, magnetic moment 0.0 μB per formula unit. Number 12: final energy -8.154 eV/atom, magnetic moment 0.8 μB per formula unit.